No. 1
{"formula": "RbVGaCu2", "functional": "PBE", "state": "optimized geometry", "lattice": [[5.374, 0.000, 0.000], [0.000, 5.374, 0.000], [0.000, 0.000, 5.329]], "species": ["Rb", "V", "Ga", "Cu", "Cu"], "frac_coords": [[0.000, 0.000, 0.000], [0.000, 0.000, 0.500], [0.500, 0.500, 0.500], [0.000, 0.500, 0.000], [0.500, 0.000, 0.000]], "total_energy_ev_per_cell": -11.344, "sg": "P4/mmm, No. 123"}



No. 2
{"formula": "SnBi3As", "functional": "PBE", "state": "optimized geometry", "lattice": [[5.751, 0.000, 0.000], [0.000, 5.751, 0.000], [0.000, 0.000, 5.751]], "species": ["Sn", "Bi", "Bi", "Bi", "As"], "frac_coords": [[0.000, 0.000, 0.000], [0.000, 0.000, 0.500], [0.000, 0.500, 0.000], [0.500, 0.000, 0.000], [0.500, 0.500, 0.500]], "total_energy_ev_per_cell": -15.423, "sg": "Pm-3m, No. 221"}



No. 3
{"formula": "PmAgH8Pd4", "functional": "PBE", "state": "optimized geometry", "lattice": [[2.943, 1.699, 4.713], [-2.943, 1.699, 4.713], [0.000, -3.399, 4.713]], "species": ["Pm", "Ag", "H", "H", "H", "H", "H", "H", "H", "H", "Pd", "Pd", "Pd", "Pd"], "frac_coords": [[0.000, 0.000, 0.000], [0.385, 0.385, 0.385], [0.147, 0.147, 0.545], [0.147, 0.545, 0.147], [0.150, 0.651, 0.651], [0.160, 0.160, 0.160], [0.545, 0.147, 0.147], [0.620, 0.620, 0.620], [0.651, 0.150, 0.651], [0.651, 0.651, 0.150], [0.381, 0.381, 0.875], [0.381, 0.875, 0.381], [0.753, 0.753, 0.753], [0.875, 0.381, 0.381]], "total_energy_ev_per_cell": -56.893, "sg": "R3m, No. 160"}



No. 4
{"formula": "MgZn10Pd2", "functional": "PBE", "state": "optimized geometry", "lattice": [[0.000, 6.101, 6.199], [2.746, 0.000, 6.199], [2.746, 6.101, 0.000]], "species": ["Mg", "Zn", "Zn", "Zn", "Zn", "Zn", "Zn", "Zn", "Zn", "Zn", "Zn", "Pd", "Pd"], "frac_coords": [[0.000, 0.000, 0.000], [0.000, 0.000, 0.500], [0.003, 0.345, 0.655], [0.281, 0.501, 0.499], [0.345, 0.003, 0.997], [0.499, 0.719, 0.281], [0.500, 0.500, 0.000], [0.501, 0.281, 0.719], [0.655, 0.997, 0.003], [0.719, 0.499, 0.501], [0.997, 0.655, 0.345], [0.000, 0.500, 0.000], [0.500, 0.000, 0.500]], "total_energy_ev_per_cell": -26.948, "sg": "Fmmm, No. 69"}



No. 5
{"formula": "Na4SnSb2", "functional": "PBE", "state": "optimized geometry", "lattice": [[-2.951, 2.951, 7.483], [2.951, -2.951, 7.483], [2.951, 2.951, -7.483]], "species": ["Na", "Na", "Na", "Na", "Sn", "Sb", "Sb"], "frac_coords": [[0.000, 0.500, 0.500], [0.200, 0.200, 0.000], [0.500, 0.000, 0.500], [0.800, 0.800, 0.000], [0.000, 0.000, 0.000], [0.405, 0.405, 0.000], [0.595, 0.595, 0.000]], "formation_energy_uncorrected_ev_per_atom": 0.104, "sg": "I4/mmm, No. 139"}



No. 6
{"formula": "NdGd2Te", "functional": "PBE", "state": "optimized geometry", "lattice": [[3.926, 0.000, 0.000], [0.000, 3.926, 0.000], [0.000, 0.000, 8.005]], "species": ["Nd", "Gd", "Gd", "Te"], "frac_coords": [[0.000, 0.000, 0.000], [0.500, 0.500, 0.283], [0.500, 0.500, 0.717], [0.000, 0.000, 0.500]], "formation_energy_uncorrected_ev_per_atom": -0.599, "sg": "P4/mmm, No. 123"}